As2PSeI, optimized geometry, DFT GGA-PBE; size of the total moment = 0.0 μB per formula unit; electronic total energy = -16.5 eV per cell; space-group type = P4/mmm, No. 123; energy above the lowest structure with this stoichiometry = 0.000 eV per atom; raw formation energy = 656 meV/atom
1.0
5.029 0.000 0.000
0.000 5.029 0.000
0.000 0.000 4.748
As P Se I
2 1 1 1
direct
0.000 0.500 0.000
0.500 0.000 0.000
0.000 0.000 0.000
0.000 0.000 0.500
0.500 0.500 0.500

---

Pr5Tl2HgIr2, optimized geometry, DFT GGA-PBE; size of the total moment = 0.0 μB per formula unit; electronic total energy = -102.4 eV per cell; space-group type = P4/mbm, No. 127; energy of formation = -454.5 meV per atom
1.0
12.291 0.000 0.000
0.000 12.291 0.000
0.000 0.000 3.859
Pr Tl Hg Ir
10 4 2 4
direct
0.000 0.500 0.000
0.078 0.206 0.000
0.206 0.922 0.000
0.294 0.422 0.000
0.422 0.706 0.000
0.500 0.000 0.000
0.578 0.294 0.000
0.706 0.578 0.000
0.794 0.078 0.000
0.922 0.794 0.000
0.174 0.674 0.500
0.326 0.174 0.500
0.674 0.826 0.500
0.826 0.326 0.500
0.000 0.000 0.500
0.500 0.500 0.500
0.131 0.369 0.500
0.369 0.869 0.500
0.631 0.131 0.500
0.869 0.631 0.500

---

Mg2PaCu, optimized geometry, DFT GGA-PBE; size of the total moment = 0.0 μB per formula unit; electronic total energy = -15.7 eV per cell; space-group type = R-3m, No. 166; energy of formation = 274.0 meV per atom
1.0
1.502 0.867 10.744
-1.502 0.867 10.744
0.000 -1.734 10.744
Mg Pa Cu
2 1 1
direct
0.101 0.101 0.101
0.899 0.899 0.899
0.000 0.000 0.000
0.500 0.500 0.500

---

LuGeIrRh, optimized geometry, DFT GGA-PBE; size of the total moment = 0.0 μB per formula unit; electronic total energy = -27.9 eV per cell; space-group type = F-43m, No. 216; energy of formation = -643.2 meV per atom
1.0
0.000 3.206 3.206
3.206 0.000 3.206
3.206 3.206 0.000
Lu Ge Ir Rh
1 1 1 1
direct
0.000 0.000 0.000
0.500 0.500 0.500
0.750 0.750 0.750
0.250 0.250 0.250